Material: FeSbRu2
Method: DFT, PBE
State: optimized geometry

a = 3.167 Å, b = 3.167 Å, c = 6.104 Å
α = 90.00°, β = 90.00°, γ = 90.00°
Space group P4/mmm (No. 123)
Inequivalent atoms, fractional coordinates:
Fe1 0.000 0.000 0.000 (multiplicity 1)
Sb1 0.000 0.000 0.500 (multiplicity 1)
Ru1 0.500 0.500 0.239 (multiplicity 2)

Calculated values
ρ	10.30	g cm⁻³
raw formation energy	0.131	eV per atom
total energy	-7.65	eV per atom
M_tot	4.4	μB per formula unit